Entry from Alexandria: an optimized crystal structure of PIrPt2 (GGA-PBEsol).

Computed properties:
Its density of states at the Fermi level is 3.36 states/eV/f.u. For the energy of formation, the calculation gives 48.8 kJ per mole of atoms.

abc: 4.931 4.931 7.233
angles: 109.93 109.93 90.00
Positions (direct):
Pt1 0.834 0.375 0.250
Pt2 0.416 0.875 0.250
Ir1 0.250 0.750 0.500
Ir2 0.000 0.000 0.000
P1 0.750 0.250 0.500
Pt3 0.625 0.584 0.750
Pt4 0.125 0.166 0.750
P2 0.500 0.500 0.000


Entry from Alexandria: an optimized crystal structure of Sc2PIrPt (GGA-PBEsol).

Computed properties:
Its density of states at the Fermi level is 5.64 states/eV/f.u. For the energy of formation, the calculation gives 23.2 kJ per mole of atoms.

abc: 4.763 4.861 4.861
angles: 90.00 90.00 90.00
Positions (direct):
P1 0.500 0.500 0.500
Pt1 0.500 0.000 0.000
Sc1 0.000 0.000 0.500
Ir1 0.000 0.000 0.000
Sc2 0.000 0.500 0.000


Entry from Alexandria: an optimized crystal structure of Re2PIr (GGA-PBEsol).

Computed properties:
Its density of states at the Fermi level is 3.10 states/eV/f.u. For the energy of formation, the calculation gives 2.6 kJ per mole of atoms.

abc: 2.801 4.438 4.835
angles: 92.02 106.84 90.00
Positions (direct):
Re1 0.976 0.975 0.951
Ir1 0.537 0.470 0.074
P1 0.726 0.817 0.453
Re2 0.261 0.238 0.522


Entry from Alexandria: an optimized crystal structure of ReP2Ir (GGA-PBEsol).

Computed properties:
Its density of states at the Fermi level is 2.24 states/eV/f.u. For the energy of formation, the calculation gives -12.8 kJ per mole of atoms.

abc: 2.871 4.073 4.975
angles: 102.07 90.00 110.63
Positions (direct):
Ir1 0.500 0.000 0.000
Re1 0.000 0.000 0.500
P1 0.253 0.506 0.264
P2 0.747 0.494 0.736


Entry from Alexandria: an optimized crystal structure of Re4PIr (GGA-PBEsol).

Computed properties:
Its density of states at the Fermi level is 5.31 states/eV/f.u. For the energy of formation, the calculation gives 88.5 kJ per mole of atoms.

abc: 5.104 5.104 5.104
angles: 60.00 60.00 60.00
Positions (direct):
Re1 0.874 0.375 0.375
Re2 0.375 0.375 0.874
P1 0.000 0.000 0.000
Ir1 0.750 0.750 0.750
Re3 0.375 0.375 0.375
Re4 0.375 0.874 0.375


Entry from Alexandria: an optimized crystal structure of Re2PIr (GGA-PBEsol).

Computed properties:
Its density of states at the Fermi level is 2.01 states/eV/f.u. For the energy of formation, the calculation gives -12.9 kJ per mole of atoms.

abc: 2.834 2.834 6.763
angles: 90.00 90.00 90.00
Positions (direct):
P1 0.500 0.500 0.761
Re1 0.500 0.500 0.242
Ir1 0.000 0.000 0.530
Re2 0.000 0.000 0.967


Entry from Alexandria: an optimized crystal structure of Re2PIr (GGA-PBEsol).

Computed properties:
Its density of states at the Fermi level is 3.61 states/eV/f.u. For the energy of formation, the calculation gives 30.5 kJ per mole of atoms.

abc: 2.785 4.715 4.715
angles: 115.16 90.03 90.03
Positions (direct):
P1 0.500 0.000 0.000
Ir1 0.500 0.500 0.500
Re1 0.000 0.000 0.500
Re2 0.000 0.500 0.000


Entry from Alexandria: an optimized crystal structure of P2IrRh (GGA-PBEsol).

Computed properties:
Its density of states at the Fermi level is 2.83 states/eV/f.u. For the energy of formation, the calculation gives 13.1 kJ per mole of atoms. The value obtained for the energy above the most stable polymorph in this dataset is 0.368 eV/atom.

abc: 2.760 4.029 4.907
angles: 90.00 90.00 90.00
Positions (direct):
Rh1 0.500 0.500 0.000
Ir1 0.000 0.500 0.500
P1 0.000 0.000 0.000
P2 0.500 0.000 0.500


no.,size of the total moment (μB/f.u.)
1,0.00
2,0.00
3,0.00
4,0.00
5,0.00
6,0.00
7,0.00
8,0.00